Record 1
! EuMg2In | Alexandria | PBE | relaxed; values from VASP
! DFT formation energy: -0.113 eV/atom
! E: -4.163 eV per atom
! offset from the most stable computed form: 85 meV/atom
! magnetization: 7.26 μB per formula unit
! crystal system: tetragonal
! D(E_F): 9.48 states/eV/cell
&SYSTEM
  ibrav = 0, nat = 4, ntyp = 3
/
ATOMIC_SPECIES
Mg 24.30 Mg.upf
Eu 151.96 Eu.upf
In 114.82 In.upf
CELL_PARAMETERS angstrom
3.752 0.000 0.000
0.000 3.752 0.000
0.000 0.000 7.875
ATOMIC_POSITIONS crystal
Mg 0.000 0.000 0.212
Mg 0.000 0.000 0.788
Eu 0.500 0.500 0.500
In 0.500 0.500 0.000

=====

Record 2
! Hf2PPdRh | Alexandria | PBE | relaxed; values from VASP
! DFT formation energy: 0.171 eV/atom
! E: -7.401 eV per atom
! magnetization: 0.00 μB per formula unit
! crystal system: tetragonal
! D(E_F): 4.14 states/eV/cell
&SYSTEM
  ibrav = 0, nat = 5, ntyp = 4
/
ATOMIC_SPECIES
Hf 178.49 Hf.upf
Pd 106.42 Pd.upf
Rh 102.91 Rh.upf
P 30.97 P.upf
CELL_PARAMETERS angstrom
-1.422 4.347 -2.005
-3.071 0.366 2.973
3.183 2.421 2.990
ATOMIC_POSITIONS crystal
Hf 0.000 0.000 0.500
Hf 0.500 0.000 0.000
Pd 0.500 0.500 0.500
Rh 0.000 0.000 0.000
P 0.000 0.500 0.000

=====

Record 3
! SbMoPd2Se | Alexandria | PBE | relaxed; values from VASP
! E: -5.108 eV per atom
! formation energy without anion corrections: 63.4 kJ/mol of atoms
! magnetization: 0.00 μB per formula unit
! crystal system: tetragonal
! D(E_F): 4.18 states/eV/cell
&SYSTEM
  ibrav = 0, nat = 5, ntyp = 4
/
ATOMIC_SPECIES
Sb 121.76 Sb.upf
Se 78.96 Se.upf
Pd 106.42 Pd.upf
Mo 95.94 Mo.upf
CELL_PARAMETERS angstrom
-4.292 -2.053 -1.438
1.610 -4.220 1.221
-1.833 0.625 4.578
ATOMIC_POSITIONS crystal
Sb 0.500 0.500 0.500
Se 0.000 0.500 0.000
Pd 0.500 0.000 0.000
Pd 0.000 0.000 0.500
Mo 0.000 0.000 0.000

=====

What is the formula in the third record?
SbMoPd2Se

=====

What is the E in the first record?
-4.163 eV per atom